Record 1
A plane-wave DFT calculation with PBE-GGA was carried out for an optimized crystal structure of CdAg2GeBr6.

Lattice parameters (Å, degrees): 7.677 7.677 7.677 55.72 55.72 55.72
Positions (direct):
Cd 0.000 0.000 0.000
Ag 0.303 0.303 0.303
Ag 0.799 0.799 0.799
Ge 0.501 0.501 0.501
Br 0.099 0.392 0.725
Br 0.223 0.894 0.601
Br 0.392 0.725 0.099
Br 0.601 0.223 0.894
Br 0.725 0.099 0.392
Br 0.894 0.601 0.223

Its symmetry is R3. The volume comes out at 288 Å³/f.u. The uncorrected formation energy comes out at -11.934 kcal/mol of atoms.

---

Record 2
A plane-wave DFT calculation with PBE-GGA was carried out for an optimized crystal structure of KCdAg2Br4.

Lattice parameters (Å, degrees): 8.084 8.070 6.767 65.34 65.13 49.53
Positions (direct):
K 0.000 0.000 0.000
Cd 0.502 0.502 0.498
Ag 0.251 0.251 0.249
Ag 0.751 0.751 0.749
Br 0.131 0.582 0.418
Br 0.420 0.874 0.580
Br 0.582 0.131 0.869
Br 0.874 0.420 0.126

Its symmetry is Fmm2. The volume comes out at 298 Å³/f.u. The uncorrected formation energy comes out at -14.633 kcal/mol of atoms.